HfBeSb2P: single point on PBEsol structure, meta-GGA SCAN.

Results
E_form (uncorrected) = 0.9147 eV/atom
N(E_F) = 0.62 states/eV/atom

Geometry as POSCAR:
```
HfBeSb2P
1.0
-2.183 -4.245 -0.431
1.763 -1.370 4.565
-4.166 1.921 2.185
P Sb Be Hf
1 2 1 1
direct
0.000 0.000 0.000
0.000 0.500 0.000
0.000 0.000 0.500
0.500 0.500 0.500
0.500 0.000 0.000
```